[1]
First-principles (PBE) data for crystalline CaBe2W at its relaxed geometry, as listed in Alexandria.

Summary:
Excess energy over the best structure of this formula in the dataset (kJ/mol of formula units): 171
Space-group type: No. 166
Volume (A^3/atom): 16.0
D(E_F) (states/eV per cell): 3.17
DFT total energy (eV per atom): -4.82

Lattice parameters (Å, degrees): 8.923 8.923 8.923 18.71 18.71 18.71
Element x y z (fractional)
Be: 0.490 0.490 0.490
Be: 0.010 0.010 0.010
W: 0.750 0.750 0.750
Ca: 0.250 0.250 0.250



[2]
First-principles (PBE) data for crystalline CaBeW2 at its relaxed geometry, as listed in Alexandria.

Summary:
Space-group type: No. 65
Volume (A^3/atom): 17.2
D(E_F) (states/eV per cell): 2.80
DFT total energy (eV per atom): -6.94

Lattice parameters (Å, degrees): 5.440 5.440 2.682 90.00 90.00 119.93
Element x y z (fractional)
W: 0.500 0.500 0.000
W: 0.000 0.000 0.000
Be: 0.500 0.000 0.500
Ca: 0.000 0.500 0.500